Compound: Mn2ZnO5
Source: Alexandria via LeMat-Bulk
Functional: PBE with a Hubbard U
Structure: relaxed

Cell: 3.5284 4.5440 11.7192 Å, 90.00 90.00 90.00°
With the nearest neighbours (Å) after each atom.
Fractional positions:
Mn (0.5000, 0.0276, 0.3504)  4 O 1.78-1.87
O (0.0000, 0.5920, 0.1117)  1 Mn 1.78
Zn (0.0000, 0.5225, 0.5000)  6 O 2.26-2.41
O (0.5000, 0.4080, 0.3883)  1 Mn 1.78
O (0.0000, 0.5920, 0.8883)  1 Mn 1.78
Zn (0.5000, 0.4775, 0.0000)  6 O 2.26-2.41
O (0.0000, 0.9297, 0.6797)  3 Mn 1.85-2.01
O (0.0000, 0.1171, 0.0000)  2 Mn 1.87
O (0.5000, 0.8829, 0.5000)  2 Mn 1.87
O (0.0000, 0.9297, 0.3203)  3 Mn 1.85-2.01
O (0.5000, 0.0703, 0.8203)  3 Mn 1.85-2.01
O (0.5000, 0.4080, 0.6117)  1 Mn 1.78
Mn (0.5000, 0.0276, 0.6496)  4 O 1.78-1.87
Mn (0.0000, 0.9724, 0.8504)  4 O 1.78-1.87
Mn (0.0000, 0.9724, 0.1496)  4 O 1.78-1.87
O (0.5000, 0.0703, 0.1797)  3 Mn 1.85-2.01

Output
space group = Pmmn, No. 59
total magnetization = 12.00 Bohr magnetons per cell
uncorrected energy = -98.993 eV/cell